[1]
# NaBF4

A relaxed NaBF4 crystal (PBEsol, the Alexandria database).

Cell lengths 6.8122, 6.1580, 6.8399 Å; angles 90.00, 90.00, 90.00 degrees
Space group Cmcm (No. 63)
Inequivalent atoms, fractional coordinates:
1 Na 0.0000 0.1516 0.2500
2 B 0.0000 0.3455 0.7500
3 F 0.0000 0.2107 0.5831
4 F 0.1681 0.4790 0.7500

Output
The calculated density comes out at 2.54 g/cm3. The value obtained for the formation energy (no corrections) is -17.9 eV per formula unit.


[2]
# Li2CeSmMo4O16

A relaxed Li2CeSmMo4O16 crystal (PBEsol, the Alexandria database).

Cell lengths 5.1802, 5.1802, 11.1237 Å; angles 90.00, 90.00, 90.00 degrees
Space group P-4 (No. 81)
Inequivalent atoms, fractional coordinates:
1 Li 0.0000 0.5000 0.2482
2 Ce 0.0000 0.0000 0.0000
3 Sm 0.5000 0.5000 0.5000
4 Mo 0.0000 0.0000 0.5000
5 Mo 0.0000 0.5000 0.7474
6 Mo 0.5000 0.5000 0.0000
7 O 0.1555 0.2623 0.8369
8 O 0.1575 0.7570 0.4142
9 O 0.2417 0.6565 0.6607
10 O 0.2515 0.3456 0.0851

Output
The calculated density comes out at 5.25 g/cm3. The value obtained for the formation energy (no corrections) is -57.5 eV per formula unit.


[3]
# YZrMo

A relaxed YZrMo crystal (PBEsol, the Alexandria database).

Cell lengths 6.5253, 6.5253, 6.5253 Å; angles 90.00, 90.00, 90.00 degrees
Space group F-43m (No. 216)
Inequivalent atoms, fractional coordinates:
1 Y 0.0000 0.0000 0.0000
2 Zr 0.2500 0.2500 0.7500
3 Mo 0.2500 0.2500 0.2500

Output
The formation energy is 1.447 eV per atom. The calculated density comes out at 6.60 g/cm3.


[4]
# TaReRh2

A relaxed TaReRh2 crystal (PBEsol, the Alexandria database).

Cell lengths 3.8928, 3.8928, 7.7323 Å; angles 90.00, 90.00, 90.00 degrees
Space group I-4m2 (No. 119)
Inequivalent atoms, fractional coordinates:
1 Ta 0.0000 0.0000 0.0000
2 Re 0.0000 0.5000 0.2500
3 Rh 0.0000 0.0000 0.5000
4 Rh 0.0000 0.5000 0.7500

Output
The formation energy is -0.228 eV per atom. The calculated density comes out at 16.24 g/cm3.


[5]
# YGa2Hg2

A relaxed YGa2Hg2 crystal (PBEsol, the Alexandria database).

Cell lengths 4.3266, 4.3266, 11.0644 Å; angles 90.00, 90.00, 90.00 degrees
Space group I4/mmm (No. 139)
Inequivalent atoms, fractional coordinates:
1 Y 0.0000 0.0000 0.0000
2 Ga 0.0000 0.0000 0.3937
3 Hg 0.0000 0.5000 0.2500

Output
The formation energy is -0.364 eV per atom. The calculated density comes out at 10.09 g/cm3.


[6]
# ZnAg2Os

A relaxed ZnAg2Os crystal (PBEsol, the Alexandria database).

Cell lengths 2.6671, 3.9906, 5.6883 Å; angles 90.00, 90.00, 90.00 degrees
Space group Pmm2 (No. 25)
Inequivalent atoms, fractional coordinates:
1 Zn 0.0000 0.0000 0.0000
2 Ag 0.0000 0.0000 0.5254
3 Ag 0.5000 0.5000 0.2719
4 Os 0.5000 0.5000 0.7889

Output
The formation energy is 0.393 eV per atom. The calculated density comes out at 12.93 g/cm3.


[7]
# InAsW2

A relaxed InAsW2 crystal (PBEsol, the Alexandria database).

Cell lengths 3.3370, 4.5666, 8.8410 Å; angles 90.00, 90.00, 90.00 degrees
Space group Imm2 (No. 44)
Inequivalent atoms, fractional coordinates:
1 In 0.0000 0.0000 0.0000
2 As 0.0000 0.5000 0.7712
3 W 0.0000 0.0000 0.4972
4 W 0.0000 0.5000 0.2337

Output
The formation energy is 0.570 eV per atom. The calculated density comes out at 13.74 g/cm3.


[8]
# KBa2Re

A relaxed KBa2Re crystal (PBEsol, the Alexandria database).

Cell lengths 5.4899, 5.4899, 4.4748 Å; angles 90.00, 90.00, 90.00 degrees
Space group P4/mmm (No. 123)
Inequivalent atoms, fractional coordinates:
1 K 0.0000 0.0000 0.0000
2 Ba 0.0000 0.5000 0.5000
3 Re 0.5000 0.5000 0.0000

Output
The formation energy is 1.250 eV per atom. The calculated density comes out at 6.16 g/cm3.


[9]
# Ir2BrN

A relaxed Ir2BrN crystal (PBEsol, the Alexandria database).

Cell lengths 4.7856, 4.7856, 11.5390 Å; angles 90.00, 90.00, 90.00 degrees
Space group I-42d (No. 122)
Inequivalent atoms, fractional coordinates:
1 Ir 0.1319 0.2500 0.1250
2 Br 0.0000 0.0000 0.5000
3 N 0.0000 0.0000 0.0000

Output
The calculated density comes out at 12.02 g/cm3. The value obtained for the formation energy (no corrections) is 3.2 eV per formula unit.


[10]
# Ca2SiSb

A relaxed Ca2SiSb crystal (PBEsol, the Alexandria database).

Cell lengths 4.7837, 4.7837, 4.2749 Å; angles 90.00, 90.00, 90.00 degrees
Space group P4/mmm (No. 123)
Inequivalent atoms, fractional coordinates:
1 Ca 0.0000 0.5000 0.0000
2 Si 0.0000 0.0000 0.5000
3 Sb 0.5000 0.5000 0.5000

Output
The calculated density comes out at 3.90 g/cm3. The value obtained for the formation energy (no corrections) is -2.2 eV per formula unit.


[11]
# K2TeMo

A relaxed K2TeMo crystal (PBEsol, the Alexandria database).

Cell lengths 3.5507, 3.5507, 10.3731 Å; angles 90.00, 90.00, 90.00 degrees
Space group P4mm (No. 99)
Inequivalent atoms, fractional coordinates:
1 K 0.0000 0.0000 0.0000
2 K 0.5000 0.5000 0.4087
3 Te 0.5000 0.5000 0.7559
4 Mo 0.0000 0.0000 0.6538

Output
The calculated density comes out at 3.83 g/cm3. The value obtained for the formation energy (no corrections) is 1.4 eV per formula unit.


[12]
# LiVP2O8

A relaxed LiVP2O8 crystal (PBEsol, the Alexandria database).

Cell lengths 8.7542, 4.6173, 13.4737 Å; angles 90.00, 96.03, 90.00 degrees
Space group C2/c (No. 15)
Inequivalent atoms, fractional coordinates:
1 Li 0.0000 0.0670 0.2500
2 V 0.0000 0.0000 0.0000
3 P 0.1593 0.4776 0.8819
4 O 0.0590 0.1987 0.8819
5 O 0.1010 0.3181 0.4634
6 O 0.1560 0.3690 0.2849
7 O 0.1743 0.1195 0.0766

Output
The calculated density comes out at 3.04 g/cm3. The value obtained for the formation energy (no corrections) is -26.4 eV per formula unit.


| no. | calculated volume (Å³ per atom) |
| --- | --- |
| 1 | 12.0 |
| 2 | 12.4 |
| 3 | 23.2 |
| 4 | 14.6 |
| 5 | 20.7 |
| 6 | 15.1 |
| 7 | 16.8 |
| 8 | 33.7 |
| 9 | 16.5 |
| 10 | 24.5 |
| 11 | 32.7 |
| 12 | 11.3 |